First-principles (PBE) data for LiTmPu2Te4 after structural relaxation, as listed in the Alexandria database.

Properties
The density comes out at 8243 kg/m³. Its uncorrected formation energy is -1.14 eV/atom. For the total moment, the calculation gives 11.7 μB/cell.

a = 7.563 Å, b = 4.373 Å, c = 7.582 Å
α = 90.00°, β = 109.38°, γ = 90.00°
Positions (direct):
Li (0.000, 0.000, 0.000)
Tm (0.000, 0.500, 0.500)
Pu (0.500, 0.000, 0.500)
Pu (0.500, 0.500, 0.000)
Te (0.236, 0.500, 0.244)
Te (0.238, 0.000, 0.749)
Te (0.762, 0.000, 0.251)
Te (0.764, 0.500, 0.756)